# FeCoTeO6 PBE with a Hubbard U relaxed
data_FeCoTeO6
_cell_length_a 4.5819
_cell_length_b 4.5819
_cell_length_c 8.9347
_cell_angle_alpha 90.00
_cell_angle_beta 90.00
_cell_angle_gamma 90.00
_space_group_name_H-M_alt 'P 42 n m'
_space_group_IT_number 102
loop_
_space_group_symop_operation_xyz
'x,y,z'
'-y+1/2,x+1/2,z+1/2'
'-x,-y,z'
'y+1/2,-x+1/2,z+1/2'
'-x+1/2,y+1/2,z+1/2'
'y,x,z'
'x+1/2,-y+1/2,z+1/2'
'-y,-x,z'
loop_
_atom_site_label
_atom_site_type_symbol
_atom_site_fract_x
_atom_site_fract_y
_atom_site_fract_z
_atom_site_occupancy
Fe1 Fe 0.0000 0.0000 0.0000 1
Co1 Co 0.0000 0.0000 0.3332 1
Te1 Te 0.0000 0.0000 0.6647 1
O1 O 0.1882 0.1882 0.4964 1
O2 O 0.1922 0.1922 0.1677 1
O3 O 0.1960 0.1960 0.8331 1
# - uncorrected energy (Ha/atom) = -0.21450
# - volume (A^3/atom) = 10.42
# - calculated density (Mg/m³) = 6.0